## PmDy4Ga5 (PBE)

Data for PmDy4Ga5 after structural relaxation.

Lattice parameters (Å, degrees): 3.5871 3.5871 17.9629 90.00 90.00 90.00
Space group P4/mmm (No. 123)
Symmetry-distinct sites (fractional):
Pm1 0.0000 0.0000 0.0000 (multiplicity 1)
Dy1 0.0000 0.0000 0.2042 (multiplicity 2)
Dy2 0.0000 0.0000 0.4014 (multiplicity 2)
Ga1 0.5000 0.5000 0.1067 (multiplicity 2)
Ga2 0.5000 0.5000 0.3030 (multiplicity 2)
Ga3 0.5000 0.5000 0.5000 (multiplicity 1)

Summary:
Total moment: 0.0 μB/cell
DFT formation energy: -5.817 eV/f.u.